Below is crystalline Tc3Mo4 at its relaxed geometry, with properties calculated at the PBE level.

Cell lengths 5.055, 5.055, 4.975 Å; angles 90.00, 90.00, 120.00 degrees
Fractional coordinates of all 7 atoms:
Tc 0.000 0.500 0.000
Tc 0.500 0.000 0.000
Tc 0.500 0.500 0.000
Mo 0.000 0.000 0.260
Mo 0.000 0.000 0.740
Mo 0.333 0.667 0.500
Mo 0.667 0.333 0.500

Calculated values
**Total magnetization**: 0.00 μB per cell
**Symmetry**: P6/mmm
**Excess energy over the best structure of this formula in the dataset**: 37 meV per atom